P.
The following is a PBE+U calculation of crystalline VIrF2 at its relaxed geometry, from Alexandria.

Cell: 10.085 10.085 10.085 Å, 16.21 16.21 16.21°
Fractional coordinates of all 4 atoms:
V (0.500, 0.500, 0.500)
Ir (0.000, 0.000, 0.000)
F (0.875, 0.875, 0.875)
F (0.125, 0.125, 0.125)

Summary:
* space-group type: R-3m
* density of states at the Fermi level: 0.69 states/eV per atom

---

Q.
The following is a PBE+U calculation of crystalline VIrF2 at its relaxed geometry, from Alexandria.

Cell: 4.202 4.202 4.202 Å, 60.00 60.00 60.00°
Fractional coordinates of all 4 atoms:
V (0.000, 0.000, 0.000)
Ir (0.500, 0.500, 0.500)
F (0.250, 0.250, 0.250)
F (0.750, 0.750, 0.750)

Summary:
* space-group type: Fm-3m
* density of states at the Fermi level: 1.33 states/eV per atom

---

Which of the structures shown above is the most stable? The most stable is P.